(1)
The following is a GGA-PBE calculation of a relaxed NbPt3Rh crystal, from Alexandria.

Cell: 4.8023 4.8023 4.8023 Å, 90.00 90.00 90.00°
Space group Pm-3m (No. 221)
One atom of each set of equivalent atoms:
Nb1 0.0000 0.0000 0.0000 [1 per cell]
Pt1 0.0000 0.0000 0.5000 [3 per cell]
Rh1 0.5000 0.5000 0.5000 [1 per cell]

The value obtained for the raw total energy is -5.864 eV/atom. The energy above the lowest structure with this stoichiometry is 1787 meV per atom. As for the total magnetization: 0.52 μB per formula unit.

---

(2)
The following is a GGA-PBE calculation of a relaxed CrMo4Ir crystal, from Alexandria.

Cell: 7.2817 7.2817 7.2817 Å, 90.00 90.00 90.00°
Space group F-43m (No. 216)
One atom of each set of equivalent atoms:
Cr1 0.0000 0.0000 0.0000 [4 per cell]
Mo1 0.1262 0.1262 0.3738 [16 per cell]
Ir1 0.2500 0.2500 0.7500 [4 per cell]

The value obtained for the raw total energy is -9.924 eV/atom. As for the total magnetization: 2.42 μB per formula unit.

---

(3)
The following is a GGA-PBE calculation of a relaxed TlZnCo2 crystal, from Alexandria.

Cell: 2.9958 2.9958 7.0018 Å, 90.00 90.00 90.00°
Space group P4mm (No. 99)
One atom of each set of equivalent atoms:
Tl1 0.0000 0.0000 0.0000 [1 per cell]
Zn1 0.5000 0.5000 0.3402 [1 per cell]
Co1 0.0000 0.0000 0.5466 [1 per cell]
Co2 0.5000 0.5000 0.7143 [1 per cell]

The value obtained for the raw total energy is -4.165 eV/atom. The energy above the lowest structure with this stoichiometry is 0 meV per atom. As for the total magnetization: 3.24 μB per formula unit.

---

(4)
The following is a GGA-PBE calculation of a relaxed PmHoAlOs crystal, from Alexandria.

Cell: 7.0720 7.0720 7.0720 Å, 90.00 90.00 90.00°
Space group F-43m (No. 216)
One atom of each set of equivalent atoms:
Pm1 0.0000 0.0000 0.0000 [4 per cell]
Ho1 0.0000 0.0000 0.5000 [4 per cell]
Al1 0.2500 0.2500 0.2500 [4 per cell]
Os1 0.2500 0.2500 0.7500 [4 per cell]

The value obtained for the raw total energy is -6.266 eV/atom. As for the total magnetization: 0.00 μB per formula unit.

---

(5)
The following is a GGA-PBE calculation of a relaxed ScMnW2 crystal, from Alexandria.

Cell: 5.3784 9.0797 2.7551 Å, 90.00 109.22 90.00°
Space group C2/m (No. 12)
One atom of each set of equivalent atoms:
Sc1 0.0000 0.0000 0.0000 [2 per cell]
Mn1 0.0000 0.5000 0.0000 [2 per cell]
W1 0.2500 0.2500 0.5000 [4 per cell]

The value obtained for the raw total energy is -10.094 eV/atom. The energy above the lowest structure with this stoichiometry is 168 meV per atom. As for the total magnetization: 1.21 μB per formula unit.

---

(6)
The following is a GGA-PBE calculation of a relaxed CdAsW2 crystal, from Alexandria.

Cell: 2.9855 2.9855 26.5262 Å, 90.00 90.00 120.00°
Space group R-3m (No. 166, hexagonal axes)
One atom of each set of equivalent atoms:
Cd1 0.0000 0.0000 0.0000 [3 per cell]
As1 0.0000 0.0000 0.5000 [3 per cell]
W1 0.0000 0.0000 0.2412 [6 per cell]

The value obtained for the raw total energy is -7.338 eV/atom. The energy above the lowest structure with this stoichiometry is 194 meV per atom. As for the total magnetization: 0.00 μB per formula unit.